Material: Tb8Tm6Th
Method: DFT, GGA-PBE
State: optimized geometry

The structure in extended XYZ format:
```
15
Lattice="4.475 2.584 6.865 -4.475 2.584 6.865 0.000 -5.168 6.865" Properties=species:S:1:pos:R:3 pbc="T T T"
Tb 0.000 0.000 1.596
Tb -1.768 0.838 7.436
Tb 0.159 -1.950 7.436
Tb -1.609 -1.112 13.158
Tb 1.609 1.112 7.436
Tb -0.159 1.950 13.158
Tb 1.768 -0.838 13.158
Tb 0.000 0.000 18.998
Tm -2.523 -2.183 9.455
Tm -3.152 1.094 11.139
Tm 0.629 -3.276 11.139
Tm -0.629 3.276 9.455
Tm 3.152 -1.094 9.455
Tm 2.523 2.183 11.139
Th 0.000 0.000 10.297
```

## Properties
magnetic moment	0.00	μB/atom
volume	476.3	Å³/f.u.
final energy	-4.624	eV/atom
ΔH_f (0 K)	0.129	eV per atom
crystal system	trigonal